# PBE Tb3Al3Rh2, relaxed
data_Tb3Al3Rh2
_symmetry_space_group_name_H-M 'P n m a'
_symmetry_Int_Tables_number 62
_cell_length_a 7.8223
_cell_length_b 15.2673
_cell_length_c 5.6723
_cell_angle_alpha 90.00
_cell_angle_beta 90.00
_cell_angle_gamma 90.00
loop_
_symmetry_equiv_pos_as_xyz
'x,y,z'
'-x,-y,-z'
'-x+1/2,-y,z+1/2'
'x+1/2,y,-z+1/2'
'x+1/2,-y+1/2,-z+1/2'
'-x+1/2,y+1/2,z+1/2'
'-x,y+1/2,-z'
'x,-y+1/2,z'
loop_
_atom_site_label
_atom_site_type_symbol
_atom_site_fract_x
_atom_site_fract_y
_atom_site_fract_z
_atom_site_occupancy
Tb1 Tb 0.0320 0.1093 0.1042 1
Tb2 Tb 0.1660 0.2500 0.6201 1
Al1 Al 0.1661 0.0347 0.5941 1
Al2 Al 0.1766 0.7500 0.6137 1
Rh1 Rh 0.1244 0.6078 0.3684 1
# volume	169.35	Å³/f.u.
# formation enthalpy at 0 K	-16.951	kcal/mol of atoms
# size of the total moment	0.00	Bohr magnetons per cell